Entry 1:
Here is a relaxed structure of InSiAg2Se4 from the Alexandria database. Energies are from PBE-GGA.

abc: 6.0500 6.0505 7.4441
angles: 114.02 114.03 89.99
With the nearest neighbours (Å) after each atom.
Atoms (fractional coordinates):
In  0.9854  0.4856  0.9717  4 Se 2.81
Si  0.7359  0.7360  0.4718  4 Se 2.33
Ag  0.4859  0.9857  0.9719  4 Se 2.68
Ag  0.2360  0.2358  0.4718  4 Se 2.73
Se  0.6140  0.6336  0.6923  1 Si 2.33
Se  0.8384  0.3933  0.2513  1 Si 2.33
Se  0.4127  0.8578  0.2510  1 Si 2.33
Se  0.0787  0.0591  0.6923  1 Si 2.33

Summary:
Formation energy (no corrections) (eV per atom): -0.26
Mass density (kg/m³): 5027
Calculated volume (Å³/cell): 222.81

---

Entry 2:
Here is a relaxed structure of TbInHgBi from the Alexandria database. Energies are from PBE-GGA.

abc: 4.5282 4.6376 5.0840
angles: 90.00 90.00 90.00
With the nearest neighbours (Å) after each atom.
Atoms (fractional coordinates):
Tb  0.0000  0.5000  0.5000  4 Bi 3.24, 4 Hg 3.40, 4 In 3.44
In  0.0000  0.0000  0.0000  4 Hg 3.24, 4 Bi 3.40, 4 Tb 3.44
Hg  0.5000  0.5000  0.0000  4 In 3.24, 4 Tb 3.40, 4 Bi 3.44
Bi  0.5000  0.0000  0.5000  4 Tb 3.24, 4 In 3.40, 4 Hg 3.44

Summary:
Calculated formation energy (meV per atom): -390
Mass density (kg/m³): 10628
Calculated volume (Å³/cell): 106.76

---

Entry 3:
Here is a relaxed structure of SrAc2Tl3Te6 from the Alexandria database. Energies are from PBE-GGA.

abc: 4.7870 9.7240 10.8496
angles: 104.23 102.74 90.00
With the nearest neighbours (Å) after each atom.
Atoms (fractional coordinates):
Sr  0.5000  0.0000  0.0000  6 Te 3.36
Ac  0.8345  0.6720  0.6689  6 Te 3.30-3.36
Ac  0.1655  0.3280  0.3311  6 Te 3.30-3.36
Tl  0.5000  0.5000  0.0000  6 Te 3.47-3.50
Tl  0.8355  0.1669  0.6710  6 Te 3.47-3.52
Tl  0.1645  0.8331  0.3290  6 Te 3.47-3.52
Te  0.3359  0.9087  0.6718  2 Ac 3.32, 1 Sr 3.36, 3 Tl 3.47-3.51
Te  0.6706  0.5711  0.3413  3 Ac 3.35-3.36, 3 Tl 3.50-3.52
Te  0.6641  0.0913  0.3282  2 Ac 3.32, 1 Sr 3.36, 3 Tl 3.47-3.51
Te  0.0046  0.2445  0.0092  1 Ac 3.30, 2 Sr 3.36, 3 Tl 3.47
Te  0.9954  0.7555  0.9908  1 Ac 3.30, 2 Sr 3.36, 3 Tl 3.47
Te  0.3294  0.4289  0.6587  3 Ac 3.35-3.36, 3 Tl 3.50-3.52

Summary:
Formation energy (no corrections) (eV per atom): -1.04
Mass density (kg/m³): 6689
Calculated volume (Å³/cell): 476.71

---

Entry 4:
Here is a relaxed structure of TeC2I from the Alexandria database. Energies are from PBE-GGA.

abc: 4.5355 4.5355 4.5355
angles: 60.00 60.00 60.00
With the nearest neighbours (Å) after each atom.
Atoms (fractional coordinates):
I  0.5000  0.5000  0.5000  8 C 2.78
C  0.2500  0.2500  0.2500  4 Te 2.78, 4 I 2.78
C  0.7500  0.7500  0.7500  4 I 2.78, 4 Te 2.78
Te  0.0000  0.0000  0.0000  8 C 2.78

Summary:
Formation energy (no corrections) (eV per atom): 2.82
Mass density (kg/m³): 7011
Calculated volume (Å³/cell): 65.97

---

Entry 5:
Here is a relaxed structure of BiCl2F8 from the Alexandria database. Energies are from PBE-GGA.

abc: 5.7309 6.8314 5.9433
angles: 94.07 110.92 101.91
With the nearest neighbours (Å) after each atom.
Atoms (fractional coordinates):
F  0.5069  0.2765  0.1571  1 Bi 2.03
F  0.2636  0.0475  0.6740  1 Bi 2.02
F  0.1384  0.3899  0.3758  1 Cl 1.65
F  0.1793  0.8625  0.0830  1 Bi 2.12, 1 Cl 2.13
F  0.8616  0.6101  0.6242  1 Cl 1.65
F  0.7364  0.9525  0.3260  1 Bi 2.02
F  0.4931  0.7235  0.8429  1 Bi 2.03
F  0.8207  0.1375  0.9170  1 Bi 2.12, 1 Cl 2.13
Bi  0.5000  0.0000  0.0000  6 F 2.02-2.12
Cl  0.1593  0.5949  0.2453  1 F 1.65
Cl  0.8407  0.4051  0.7547  1 F 1.65

Summary:
Formation energy (no corrections) (eV per atom): -1.20
Mass density (kg/m³): 3415
Calculated volume (Å³/cell): 209.99

---

Entry 6:
Here is a relaxed structure of Al4PdAu from the Alexandria database. Energies are from PBE-GGA.

abc: 4.2250 4.2250 6.0593
angles: 90.00 90.00 90.00
With the nearest neighbours (Å) after each atom.
Atoms (fractional coordinates):
Al  0.5013  0.9972  0.2570  2 Pd 2.57, 2 Au 2.63
Al  0.5013  0.9974  0.7392  2 Pd 2.57, 2 Au 2.63
Al  0.0013  0.4972  0.7392  2 Pd 2.57, 2 Au 2.63
Al  0.0013  0.4973  0.2571  2 Pd 2.57, 2 Au 2.63
Pd  0.0013  0.9973  0.4981  8 Al 2.57
Au  0.5013  0.4973  0.9981  8 Al 2.63

Summary:
Calculated formation energy (meV per atom): -527
Mass density (kg/m³): 6315
Calculated volume (Å³/cell): 108.16

---

Entry 7:
Here is a relaxed structure of SrZr3Bi from the Alexandria database. Energies are from PBE-GGA.

abc: 5.2353 5.2353 5.2353
angles: 90.00 90.00 90.00
With the nearest neighbours (Å) after each atom.
Atoms (fractional coordinates):
Sr  0.0000  0.0000  0.0000  6 Zr 2.62
Bi  0.5000  0.5000  0.5000  12 Zr 3.70
Zr  0.0000  0.5000  0.0000  2 Sr 2.62
Zr  0.0000  0.0000  0.5000  2 Sr 2.62
Zr  0.5000  0.0000  0.0000  2 Sr 2.62

Summary:
Calculated formation energy (meV per atom): 1621
Mass density (kg/m³): 6599
Calculated volume (Å³/cell): 143.49

---

Entry 8:
Here is a relaxed structure of AlZnAu4 from the Alexandria database. Energies are from PBE-GGA.

abc: 6.2844 6.1460 6.1460
angles: 109.54 100.80 100.80
With the nearest neighbours (Å) after each atom.
Atoms (fractional coordinates):
Al  0.2500  0.0362  0.9638  8 Au 2.60-2.74
Al  0.7500  0.9638  0.0362  8 Au 2.60-2.74
Zn  0.7500  0.6332  0.3668  8 Au 2.66-2.88
Zn  0.2500  0.3668  0.6332  8 Au 2.66-2.88
Au  0.9221  0.6104  0.7855  2 Zn 2.66-2.88, 2 Al 2.74, 2 Au 2.93-2.94
Au  0.0957  0.9183  0.3063  2 Al 2.60-2.72, 2 Zn 2.67-2.69, 2 Au 2.84-2.88
Au  0.5779  0.2145  0.3896  2 Zn 2.66-2.88, 2 Al 2.74, 2 Au 2.93-2.94
Au  0.4043  0.6937  0.0817  2 Al 2.60-2.72, 2 Zn 2.67-2.69, 2 Au 2.84-2.88
Au  0.5957  0.3063  0.9183  2 Al 2.60-2.72, 2 Zn 2.67-2.69, 2 Au 2.84-2.88
Au  0.4221  0.7855  0.6104  2 Zn 2.66-2.88, 2 Al 2.74, 2 Au 2.93-2.94
Au  0.9043  0.0817  0.6937  2 Al 2.60-2.72, 2 Zn 2.67-2.69, 2 Au 2.84-2.88
Au  0.0779  0.3896  0.2145  2 Zn 2.66-2.88, 2 Al 2.74, 2 Au 2.93-2.94

Summary:
Calculated formation energy (meV per atom): -193
Mass density (kg/m³): 13817
Calculated volume (Å³/cell): 211.58

---

Which of these has the lowest calculated volume? TeC2I

---

Look up the calculated volume of the fourth one. 65.97 Å³/cell